Record 1
A plane-wave DFT calculation with GGA-PBE was carried out for a geometry-optimized TbErAs2Pt2 structure.

Properties
As for the size of the total moment: 0.0 μB/cell. For the total energy, the calculation gives -6.336 eV/atom. As for the space group: P6_3/mmc (194).

POSCAR file:
```
TbErAs2Pt2
1.0
4.291 0.000 0.000
-2.145 3.716 0.000
0.000 0.000 15.184
Tb Er As Pt
2 2 4 4
direct
0.000 0.000 0.000
0.000 0.000 0.500
0.000 0.000 0.250
0.000 0.000 0.750
0.333 0.667 0.116
0.333 0.667 0.384
0.667 0.333 0.616
0.667 0.333 0.884
0.333 0.667 0.640
0.333 0.667 0.860
0.667 0.333 0.140
0.667 0.333 0.360
```



Record 2
A plane-wave DFT calculation with GGA-PBE was carried out for a geometry-optimized ErPuAs structure.

Properties
As for the size of the total moment: 26.8 μB/cell. For the total energy, the calculation gives -8.373 eV/atom. As for the space group: F-43m (216).

POSCAR file:
```
ErPuAs
1.0
6.840 0.000 0.000
0.000 6.840 0.000
0.000 0.000 6.840
Er Pu As
4 4 4
direct
0.000 0.000 0.000
0.000 0.500 0.500
0.500 0.000 0.500
0.500 0.500 0.000
0.000 0.000 0.500
0.000 0.500 0.000
0.500 0.000 0.000
0.500 0.500 0.500
0.250 0.250 0.250
0.250 0.750 0.750
0.750 0.250 0.750
0.750 0.750 0.250
```



Record 3
A plane-wave DFT calculation with GGA-PBE was carried out for a geometry-optimized RbEr4As3 structure.

Properties
As for the size of the total moment: 0.0 μB/cell. For the total energy, the calculation gives -4.944 eV/atom. As for the space group: P4/mmm (123).

POSCAR file:
```
RbEr4As3
1.0
4.789 0.000 0.000
0.000 4.789 0.000
0.000 0.000 10.799
Rb Er As
1 4 3
direct
0.000 0.000 0.000
0.000 0.500 0.341
0.000 0.500 0.659
0.500 0.000 0.341
0.500 0.000 0.659
0.000 0.000 0.500
0.500 0.500 0.201
0.500 0.500 0.799
```



Record 4
A plane-wave DFT calculation with GGA-PBE was carried out for a geometry-optimized RbErAs2S7 structure.

Properties
As for the size of the total moment: 0.0 μB/cell. For the total energy, the calculation gives -4.657 eV/atom. As for the space group: C2 (5).

POSCAR file:
```
RbErAs2S7
1.0
4.630 -5.227 0.000
4.630 5.227 0.000
-1.076 0.000 6.635
Rb Er As S
1 1 2 7
direct
0.000 0.000 0.000
0.398 0.602 0.500
0.551 0.054 0.409
0.946 0.449 0.591
0.022 0.574 0.324
0.209 0.464 0.799
0.426 0.978 0.676
0.444 0.279 0.247
0.536 0.791 0.201
0.721 0.556 0.753
0.881 0.119 0.500
```